# 1
# Rb2Cu2PdF6 (PBE, optimized geometry)
# Uncorrected formation energy, eV per atom: -1.71
data_Rb2Cu2PdF6
_cell_length_a 12.634
_cell_length_b 5.866
_cell_length_c 5.594
_cell_angle_alpha 90.00
_cell_angle_beta 107.27
_cell_angle_gamma 90.00
_symmetry_space_group_name_H-M 'C 1 2/m 1'
_symmetry_Int_Tables_number 12
_symmetry_space_group_name_Hall '-C 2y'
loop_
_atom_site_label
_atom_site_type_symbol
_atom_site_fract_x
_atom_site_fract_y
_atom_site_fract_z
Rb1 Rb 0.219 0.000 0.191
Cu1 Cu 0.037 0.500 0.236
Pd1 Pd 0.000 0.000 0.500
F1 F 0.073 0.251 0.749
F2 F 0.190 0.500 0.271

=====

# 2
# CaSi5 (PBE, optimized geometry)
# Uncorrected formation energy, eV per atom: 0.12
# Excess energy over the best structure of this formula in the dataset, meV per atom: 0
data_CaSi5
_cell_length_a 11.510
_cell_length_b 3.750
_cell_length_c 5.631
_cell_angle_alpha 90.00
_cell_angle_beta 108.10
_cell_angle_gamma 90.00
_symmetry_space_group_name_H-M 'C 1 m 1'
_symmetry_Int_Tables_number 8
_symmetry_space_group_name_Hall 'C -2y'
loop_
_atom_site_label
_atom_site_type_symbol
_atom_site_fract_x
_atom_site_fract_y
_atom_site_fract_z
Ca1 Ca 0.000 0.000 0.000
Si1 Si 0.120 0.000 0.577
Si2 Si 0.200 0.500 0.931
Si3 Si 0.201 0.500 0.380
Si4 Si 0.321 0.000 0.146
Si5 Si 0.340 0.000 0.586

=====

# 3
# La2ZnIrAu (PBE, optimized geometry)
# E_form, eV/atom: -0.69
# Excess energy over the best structure of this formula in the dataset, meV per atom: 0
data_La2ZnIrAu
_cell_length_a 7.792
_cell_length_b 4.300
_cell_length_c 7.808
_cell_angle_alpha 90.00
_cell_angle_beta 109.69
_cell_angle_gamma 90.00
_symmetry_space_group_name_H-M 'P 1 21/m 1'
_symmetry_Int_Tables_number 11
_symmetry_space_group_name_Hall '-P 2yb'
loop_
_atom_site_label
_atom_site_type_symbol
_atom_site_fract_x
_atom_site_fract_y
_atom_site_fract_z
La1 La 0.040 0.250 0.220
La2 La 0.358 0.750 0.629
Zn1 Zn 0.341 0.250 0.950
Ir1 Ir 0.108 0.250 0.626
Au1 Au 0.332 0.750 0.175

=====

# 4
# Ac6ScHg5 (PBE, optimized geometry)
# E_form, eV/atom: -0.35
data_Ac6ScHg5
_cell_length_a 5.683
_cell_length_b 8.169
_cell_length_c 9.080
_cell_angle_alpha 90.00
_cell_angle_beta 108.27
_cell_angle_gamma 90.00
_symmetry_space_group_name_H-M 'P 1 2/m 1'
_symmetry_Int_Tables_number 10
_symmetry_space_group_name_Hall '-P 2y'
loop_
_atom_site_label
_atom_site_type_symbol
_atom_site_fract_x
_atom_site_fract_y
_atom_site_fract_z
Ac1 Ac 0.000 0.240 0.000
Ac2 Ac 0.332 0.252 0.663
Sc1 Sc 0.500 0.500 0.000
Hg1 Hg 0.153 0.500 0.309
Hg2 Hg 0.165 0.000 0.332
Hg3 Hg 0.500 0.000 0.000

=====

# 5
# Ac2AlGaPd6 (PBE, optimized geometry)
# E_form, eV/atom: -0.79
data_Ac2AlGaPd6
_cell_length_a 5.672
_cell_length_b 6.754
_cell_length_c 6.767
_cell_angle_alpha 83.05
_cell_angle_beta 65.25
_cell_angle_gamma 65.25
_symmetry_space_group_name_H-M 'P -1'
_symmetry_Int_Tables_number 2
_symmetry_space_group_name_Hall '-P 1'
loop_
_atom_site_label
_atom_site_type_symbol
_atom_site_fract_x
_atom_site_fract_y
_atom_site_fract_z
Ac1 Ac 0.035 0.216 0.214
Al1 Al 0.500 0.000 0.500
Ga1 Ga 0.500 0.500 0.000
Pd1 Pd 0.002 0.250 0.745
Pd2 Pd 0.356 0.394 0.395
Pd3 Pd 0.498 0.750 0.254

=====

# 6
# BaLiTlCd (PBE, optimized geometry)
# E_form, eV/atom: -0.27
# Excess energy over the best structure of this formula in the dataset, meV per atom: 0
data_BaLiTlCd
_cell_length_a 8.606
_cell_length_b 4.967
_cell_length_c 6.631
_cell_angle_alpha 90.00
_cell_angle_beta 114.77
_cell_angle_gamma 90.00
_symmetry_space_group_name_H-M 'C 1 m 1'
_symmetry_Int_Tables_number 8
_symmetry_space_group_name_Hall 'C -2y'
loop_
_atom_site_label
_atom_site_type_symbol
_atom_site_fract_x
_atom_site_fract_y
_atom_site_fract_z
Ba1 Ba 0.000 0.000 0.000
Li1 Li 0.000 0.500 0.497
Tl1 Tl 0.205 0.000 0.612
Cd1 Cd 0.303 0.500 0.407

=====

# 7
# PmHoAsP (PBE, optimized geometry)
# E_form, eV/atom: -1.53
data_PmHoAsP
_cell_length_a 4.123
_cell_length_b 4.123
_cell_length_c 5.813
_cell_angle_alpha 90.00
_cell_angle_beta 90.00
_cell_angle_gamma 90.00
_symmetry_space_group_name_H-M 'P 4/m m m'
_symmetry_Int_Tables_number 123
_symmetry_space_group_name_Hall '-P 4 2'
loop_
_atom_site_label
_atom_site_type_symbol
_atom_site_fract_x
_atom_site_fract_y
_atom_site_fract_z
Pm1 Pm 0.000 0.000 0.000
Ho1 Ho 0.500 0.500 0.500
As1 As 0.500 0.500 0.000
P1 P 0.000 0.000 0.500

=====

# 8
# HgSb2As (PBE, optimized geometry)
# Uncorrected formation energy, eV per atom: 0.07
# Excess energy over the best structure of this formula in the dataset, meV per atom: 39
data_HgSb2As
_cell_length_a 5.977
_cell_length_b 6.264
_cell_length_c 6.634
_cell_angle_alpha 65.25
_cell_angle_beta 87.40
_cell_angle_gamma 83.29
_symmetry_space_group_name_H-M 'P 1'
_symmetry_Int_Tables_number 1
_symmetry_space_group_name_Hall 'P 1'
loop_
_atom_site_label
_atom_site_type_symbol
_atom_site_fract_x
_atom_site_fract_y
_atom_site_fract_z
Hg1 Hg 0.000 0.000 0.000
Hg2 Hg 0.009 0.512 0.972
Sb1 Sb 0.033 0.302 0.480
Sb2 Sb 0.503 0.977 0.997
Sb3 Sb 0.508 0.495 0.021
Sb4 Sb 0.529 0.798 0.493
As1 As 0.496 0.239 0.488
As2 As 0.989 0.727 0.499

=====

# 9
# LaAlRe2 (PBE, optimized geometry)
# E_form, eV/atom: 0.30
data_LaAlRe2
_cell_length_a 2.950
_cell_length_b 4.085
_cell_length_c 6.559
_cell_angle_alpha 90.00
_cell_angle_beta 90.00
_cell_angle_gamma 90.00
_symmetry_space_group_name_H-M 'P m m m'
_symmetry_Int_Tables_number 47
_symmetry_space_group_name_Hall '-P 2 2'
loop_
_atom_site_label
_atom_site_type_symbol
_atom_site_fract_x
_atom_site_fract_y
_atom_site_fract_z
La1 La 0.000 0.000 0.000
Al1 Al 0.000 0.000 0.500
Re1 Re 0.500 0.500 0.323

=====

# 10
# Tb2Si3Pd (PBE, optimized geometry)
# Uncorrected formation energy, eV per atom: -0.91
data_Tb2Si3Pd
_cell_length_a 8.1735
_cell_length_b 8.1735
_cell_length_c 4.0760
_cell_angle_alpha 90.00
_cell_angle_beta 90.00
_cell_angle_gamma 120.00
_symmetry_space_group_name_H-M 'P 6/m m m'
_symmetry_Int_Tables_number 191
_symmetry_space_group_name_Hall '-P 6 2'
loop_
_atom_site_label
_atom_site_type_symbol
_atom_site_fract_x
_atom_site_fract_y
_atom_site_fract_z
Tb1 Tb 0.0000 0.0000 0.0000
Tb2 Tb 0.0000 0.5000 0.0000
Si1 Si 0.1656 0.3312 0.5000
Pd1 Pd 0.3333 0.6667 0.5000

=====

# 11
# SrLi2In4Ag (PBE, optimized geometry)
# E_form, eV/atom: -0.27
data_SrLi2In4Ag
_cell_length_a 4.7447
_cell_length_b 4.7447
_cell_length_c 30.1577
_cell_angle_alpha 90.00
_cell_angle_beta 90.00
_cell_angle_gamma 120.00
_symmetry_space_group_name_H-M 'R -3 m'
_symmetry_Int_Tables_number 166
_symmetry_space_group_name_Hall '-R 3 2"'
loop_
_atom_site_label
_atom_site_type_symbol
_atom_site_fract_x
_atom_site_fract_y
_atom_site_fract_z
Sr1 Sr 0.0000 0.0000 0.0000
Li1 Li 0.0000 0.0000 0.2239
In1 In 0.0000 0.0000 0.1224
In2 In 0.0000 0.0000 0.4034
Ag1 Ag 0.0000 0.0000 0.5000

=====

# 12
# CsSr2DyBr8 (PBE, optimized geometry)
# Uncorrected formation energy, eV per atom: -1.95
data_CsSr2DyBr8
_cell_length_a 6.988
_cell_length_b 7.200
_cell_length_c 9.705
_cell_angle_alpha 89.97
_cell_angle_beta 89.93
_cell_angle_gamma 89.57
_symmetry_space_group_name_H-M 'P -1'
_symmetry_Int_Tables_number 2
_symmetry_space_group_name_Hall '-P 1'
loop_
_atom_site_label
_atom_site_type_symbol
_atom_site_fract_x
_atom_site_fract_y
_atom_site_fract_z
Cs1 Cs 0.000 0.000 0.000
Sr1 Sr 0.500 0.500 0.251
Dy1 Dy 0.000 0.000 0.500
Br1 Br 0.236 0.840 0.701
Br2 Br 0.236 0.841 0.299
Br3 Br 0.251 0.320 0.500
Br4 Br 0.264 0.400 0.000

=====

# 13
# UTc2C (PBE, optimized geometry)
# E_form, eV/atom: 0.44
# Excess energy over the best structure of this formula in the dataset, meV per atom: 293
data_UTc2C
_cell_length_a 3.0150
_cell_length_b 3.0150
_cell_length_c 22.4598
_cell_angle_alpha 90.00
_cell_angle_beta 90.00
_cell_angle_gamma 120.00
_symmetry_space_group_name_H-M 'R -3 m'
_symmetry_Int_Tables_number 166
_symmetry_space_group_name_Hall '-R 3 2"'
loop_
_atom_site_label
_atom_site_type_symbol
_atom_site_fract_x
_atom_site_fract_y
_atom_site_fract_z
U1 U 0.0000 0.0000 0.0000
Tc1 Tc 0.0000 0.0000 0.1113
C1 C 0.0000 0.0000 0.5000

=====

# 14
# K2LaErTe4 (PBE, optimized geometry)
# Uncorrected formation energy, eV per atom: -1.43
data_K2LaErTe4
_cell_length_a 7.958
_cell_length_b 4.591
_cell_length_c 8.650
_cell_angle_alpha 90.00
_cell_angle_beta 107.84
_cell_angle_gamma 90.00
_symmetry_space_group_name_H-M 'P 1 2/m 1'
_symmetry_Int_Tables_number 10
_symmetry_space_group_name_Hall '-P 2y'
loop_
_atom_site_label
_atom_site_type_symbol
_atom_site_fract_x
_atom_site_fract_y
_atom_site_fract_z
K1 K 0.000 0.000 0.000
K2 K 0.500 0.500 0.000
La1 La 0.000 0.500 0.500
Er1 Er 0.500 0.000 0.500
Te1 Te 0.250 0.000 0.714
Te2 Te 0.275 0.500 0.292

=====

# 15
# Na2Pt2Pb (PBE, optimized geometry)
# E_form, eV/atom: 0.08
# Excess energy over the best structure of this formula in the dataset, meV per atom: 355
data_Na2Pt2Pb
_cell_length_a 4.002
_cell_length_b 4.002
_cell_length_c 13.810
_cell_angle_alpha 90.00
_cell_angle_beta 90.00
_cell_angle_gamma 90.00
_symmetry_space_group_name_H-M 'I 4/m m m'
_symmetry_Int_Tables_number 139
_symmetry_space_group_name_Hall '-I 4 2'
loop_
_atom_site_label
_atom_site_type_symbol
_atom_site_fract_x
_atom_site_fract_y
_atom_site_fract_z
Na1 Na 0.000 0.500 0.250
Pt1 Pt 0.000 0.000 0.095
Pb1 Pb 0.000 0.000 0.500

=====

# 16
# Tb2AlAu (PBE, optimized geometry)
# E_form, eV/atom: -0.56
# Excess energy over the best structure of this formula in the dataset, meV per atom: 54
data_Tb2AlAu
_cell_length_a 7.293
_cell_length_b 7.293
_cell_length_c 7.293
_cell_angle_alpha 90.00
_cell_angle_beta 90.00
_cell_angle_gamma 90.00
_symmetry_space_group_name_H-M 'F m -3 m'
_symmetry_Int_Tables_number 225
_symmetry_space_group_name_Hall '-F 4 2 3'
loop_
_atom_site_label
_atom_site_type_symbol
_atom_site_fract_x
_atom_site_fract_y
_atom_site_fract_z
Tb1 Tb 0.250 0.250 0.250
Al1 Al 0.000 0.000 0.000
Au1 Au 0.000 0.000 0.500

=====

# 17
# ThRe2Si2B (PBE, optimized geometry)
# Uncorrected formation energy, eV per atom: -0.54
data_ThRe2Si2B
_cell_length_a 4.251
_cell_length_b 4.251
_cell_length_c 5.310
_cell_angle_alpha 90.00
_cell_angle_beta 90.00
_cell_angle_gamma 90.00
_symmetry_space_group_name_H-M 'P 4/m m m'
_symmetry_Int_Tables_number 123
_symmetry_space_group_name_Hall '-P 4 2'
loop_
_atom_site_label
_atom_site_type_symbol
_atom_site_fract_x
_atom_site_fract_y
_atom_site_fract_z
Th1 Th 0.000 0.000 0.000
Re1 Re 0.000 0.500 0.500
Si1 Si 0.500 0.500 0.229
B1 B 0.000 0.000 0.500

=====

# 18
# Zr5Si (PBE, optimized geometry)
# Uncorrected formation energy, eV per atom: -0.22
# Excess energy over the best structure of this formula in the dataset, meV per atom: 0
data_Zr5Si
_cell_length_a 4.319
_cell_length_b 13.315
_cell_length_c 4.396
_cell_angle_alpha 90.00
_cell_angle_beta 90.00
_cell_angle_gamma 90.00
_symmetry_space_group_name_H-M 'C m m m'
_symmetry_Int_Tables_number 65
_symmetry_space_group_name_Hall '-C 2 2'
loop_
_atom_site_label
_atom_site_type_symbol
_atom_site_fract_x
_atom_site_fract_y
_atom_site_fract_z
Zr1 Zr 0.000 0.000 0.000
Zr2 Zr 0.000 0.155 0.500
Zr3 Zr 0.000 0.340 0.000
Si1 Si 0.000 0.500 0.500

=====

# 19
# SiTePbN2 (PBE, optimized geometry)
# Uncorrected formation energy, eV per atom: 1.00
# Excess energy over the best structure of this formula in the dataset, meV per atom: 0
data_SiTePbN2
_cell_length_a 4.014
_cell_length_b 4.014
_cell_length_c 5.378
_cell_angle_alpha 90.00
_cell_angle_beta 90.00
_cell_angle_gamma 90.00
_symmetry_space_group_name_H-M 'P 4/m m m'
_symmetry_Int_Tables_number 123
_symmetry_space_group_name_Hall '-P 4 2'
loop_
_atom_site_label
_atom_site_type_symbol
_atom_site_fract_x
_atom_site_fract_y
_atom_site_fract_z
Si1 Si 0.000 0.000 0.000
Te1 Te 0.000 0.000 0.500
Pb1 Pb 0.500 0.500 0.500
N1 N 0.000 0.500 0.000

=====

# 20
# FeRhS (PBE, optimized geometry)
# Uncorrected formation energy, eV per atom: -0.04
# Excess energy over the best structure of this formula in the dataset, meV per atom: 156
data_FeRhS
_cell_length_a 3.396
_cell_length_b 3.271
_cell_length_c 7.175
_cell_angle_alpha 90.00
_cell_angle_beta 90.00
_cell_angle_gamma 90.00
_symmetry_space_group_name_H-M 'A m m 2'
_symmetry_Int_Tables_number 38
_symmetry_space_group_name_Hall 'A 2 -2'
loop_
_atom_site_label
_atom_site_type_symbol
_atom_site_fract_x
_atom_site_fract_y
_atom_site_fract_z
Fe1 Fe 0.000 0.000 0.000
Rh1 Rh 0.500 0.000 0.706
S1 S 0.000 0.000 0.301

=====

# 21
# HCl (PBE, optimized geometry)
# Uncorrected energy, eV/f.u.: -5.72
data_HCl
_cell_length_a 3.686
_cell_length_b 10.840
_cell_length_c 5.464
_cell_angle_alpha 90.00
_cell_angle_beta 90.00
_cell_angle_gamma 90.00
_symmetry_space_group_name_H-M 'P m m n'
_symmetry_Int_Tables_number 59
loop_
_symmetry_equiv_pos_as_xyz
'x,y,z'
'-x,-y,-z'
'-x+1/2,-y+1/2,z'
'x+1/2,y+1/2,-z'
'x+1/2,-y,-z'
'-x+1/2,y,z'
'-x,y+1/2,-z'
'x,-y+1/2,z'
loop_
_atom_site_label
_atom_site_type_symbol
_atom_site_fract_x
_atom_site_fract_y
_atom_site_fract_z
H1 H 0.250 0.161 0.007
H2 H 0.250 0.750 0.255
Cl1 Cl 0.250 0.250 0.188
Cl2 Cl 0.250 0.606 0.239

=====

# 22
# Y2PdPb (PBE, optimized geometry)
# E_form, eV/atom: -0.67
data_Y2PdPb
_cell_length_a 3.600
_cell_length_b 3.600
_cell_length_c 7.756
_cell_angle_alpha 90.00
_cell_angle_beta 90.00
_cell_angle_gamma 90.00
_symmetry_space_group_name_H-M 'P 4/m m m'
_symmetry_Int_Tables_number 123
_symmetry_space_group_name_Hall '-P 4 2'
loop_
_atom_site_label
_atom_site_type_symbol
_atom_site_fract_x
_atom_site_fract_y
_atom_site_fract_z
Y1 Y 0.000 0.000 0.218
Pd1 Pd 0.500 0.500 0.000
Pb1 Pb 0.500 0.500 0.500

=====

# 23
# Mg2SiAg (PBE, optimized geometry)
# Uncorrected formation energy, eV per atom: -0.05
data_Mg2SiAg
_cell_length_a 3.092
_cell_length_b 3.904
_cell_length_c 5.993
_cell_angle_alpha 90.00
_cell_angle_beta 90.50
_cell_angle_gamma 90.00
_symmetry_space_group_name_H-M 'P 1 2/m 1'
_symmetry_Int_Tables_number 10
_symmetry_space_group_name_Hall '-P 2y'
loop_
_atom_site_label
_atom_site_type_symbol
_atom_site_fract_x
_atom_site_fract_y
_atom_site_fract_z
Mg1 Mg 0.000 0.000 0.244
Si1 Si 0.500 0.500 0.000
Ag1 Ag 0.500 0.500 0.500

=====

# 24
# Y2MgIn (PBE, optimized geometry)
# E_form, eV/atom: -0.31
data_Y2MgIn
_cell_length_a 3.465
_cell_length_b 4.487
_cell_length_c 6.913
_cell_angle_alpha 90.00
_cell_angle_beta 90.00
_cell_angle_gamma 90.00
_symmetry_space_group_name_H-M 'P m m m'
_symmetry_Int_Tables_number 47
_symmetry_space_group_name_Hall '-P 2 2'
loop_
_atom_site_label
_atom_site_type_symbol
_atom_site_fract_x
_atom_site_fract_y
_atom_site_fract_z
Y1 Y 0.000 0.000 0.246
Mg1 Mg 0.500 0.500 0.500
In1 In 0.500 0.500 0.000

=====

# 25
# YCrAu (PBE, optimized geometry)
# E_form, eV/atom: -0.09
# Excess energy over the best structure of this formula in the dataset, meV per atom: 16
data_YCrAu
_cell_length_a 3.683
_cell_length_b 3.683
_cell_length_c 9.491
_cell_angle_alpha 90.00
_cell_angle_beta 90.00
_cell_angle_gamma 90.00
_symmetry_space_group_name_H-M 'I 4 m m'
_symmetry_Int_Tables_number 107
_symmetry_space_group_name_Hall 'I 4 -2'
loop_
_atom_site_label
_atom_site_type_symbol
_atom_site_fract_x
_atom_site_fract_y
_atom_site_fract_z
Y1 Y 0.000 0.000 0.000
Cr1 Cr 0.000 0.000 0.684
Au1 Au 0.000 0.000 0.329